(1)
An optimized crystal structure of TlMo2AsRu. Source: Alexandria via LeMat-Bulk, functional GGA-PBEsol.

Results
Crystal system = tetragonal
DOS(E_F) = 5.9 states/eV per cell
Energy relative to the elements = 1.292 eV/atom
Electronic total energy = -34.98 eV/cell
Size of the total moment = 0.34 μB/atom

The structure in extended XYZ format:
```
5
Lattice="4.7601 0.0000 0.0000 0.0000 4.7601 0.0000 0.0000 0.0000 4.5467" Properties=species:S:1:pos:R:3 pbc="T T T"
Tl 0.0000 0.0000 0.0000
Mo 0.0000 2.3801 2.2733
Mo 2.3801 0.0000 2.2733
As 2.3801 2.3801 0.0000
Ru 2.3801 2.3801 2.2733
```

---

(2)
An optimized crystal structure of MoAsS2. Source: Alexandria via LeMat-Bulk, functional GGA-PBEsol.

Results
Crystal system = trigonal
Formation energy (no corrections) = -0.34 eV/atom
DOS(E_F) = 2.3 states/eV per cell
Electronic total energy = -27.00 eV/cell
Size of the total moment = 0.00 μB/atom

The structure in extended XYZ format:
```
4
Lattice="1.5623 0.9020 8.2795 -1.5623 0.9020 8.2795 0.0000 -1.8040 8.2795" Properties=species:S:1:pos:R:3 pbc="T T T"
Mo 0.0000 0.0000 0.0000
As 0.0000 0.0000 12.4192
S 0.0000 0.0000 9.8738
S 0.0000 0.0000 14.9647
```

---

- Which value of DOS(E_F) does entry 2 give?
  2.3 states/eV per cell

---

- The highest electronic total energy belongs to which entry?
  MoAsS2

---

- Among the records above, which one has the highest DOS(E_F)?
  TlMo2AsRu

---

- Which value of size of the total moment does entry 2 give?
  0.00 μB/atom